! CaSc2Se PBEsol relaxed; values from VASP
&SYSTEM
  ibrav = 0, nat = 4, ntyp = 3
/
ATOMIC_SPECIES
Se 78.96 Se.upf
Sc 44.96 Sc.upf
Ca 40.08 Ca.upf
CELL_PARAMETERS angstrom
3.523 0.000 0.000
0.000 3.523 0.000
0.000 0.000 7.688
ATOMIC_POSITIONS crystal
Se 0.000 0.000 0.447
Sc 0.500 0.500 0.287
Sc 0.000 0.000 0.049
Ca 0.500 0.500 0.717
! Total magnetic moment (μB/f.u.): 0.00
! Total energy (eV/atom): -5.53